Computed, not measured: SrYTe2 after structural relaxation at the GGA-PBEsol level of DFT.

Cell: 4.0768 4.1484 15.0910 Å, 90.00 90.00 90.00°
Space group Imm2 (No. 44)
Inequivalent atoms, fractional coordinates:
Sr1 0.0000 0.0000 0.0000 x2
Y1 0.0000 0.5000 0.2494 x2
Te1 0.0000 0.0000 0.5989 x2
Te2 0.0000 0.5000 0.8274 x2

## Properties
Its crystal system is orthorhombic. Its formation energy (no corrections) is -1.40 eV per atom. For the energy above the lowest structure with this stoichiometry, the calculation gives 140.8 meV/atom. Its density of states at the Fermi level is 5.15 states/eV/cell. The value obtained for the calculated density is 5.6 g/cm3.